[1]
# Hg3Bi4Pb2

A geometry-optimized Hg3Bi4Pb2 structure (PBE, Alexandria).

Unit cell a=4.7731 b=6.8962 c=11.2723 alpha=83.97 beta=84.84 gamma=117.52
Element x y z (fractional)
Hg  0.6278  0.1547  0.3164
Pb  0.3109  0.6462  0.2991
Bi  0.7489  0.5272  0.0877
Bi  0.2511  0.4728  0.9123
Bi  0.8407  0.7452  0.4743
Hg  0.3722  0.8453  0.6836
Pb  0.6891  0.3538  0.7009
Hg  0.0000  0.0000  0.0000
Bi  0.1593  0.2548  0.5257

Results
E_tot: -2.5683 eV per atom
energy of formation from the pure elements: 7.8 kJ/mol of atoms

=====

[2]
# HgBi2Pb2

A geometry-optimized HgBi2Pb2 structure (PBE, Alexandria).

Unit cell a=9.0476 b=9.0476 c=4.0868 alpha=90.00 beta=90.00 gamma=90.00
Element x y z (fractional)
Hg  0.5000  0.5000  0.0000
Pb  0.3489  0.8489  0.0000
Hg  0.0000  0.0000  0.0000
Pb  0.6511  0.1511  0.0000
Bi  0.1367  0.6367  0.5000
Bi  0.6367  0.8633  0.5000
Bi  0.8633  0.3633  0.5000
Bi  0.3633  0.1367  0.5000
Pb  0.1511  0.3489  0.0000
Pb  0.8489  0.6511  0.0000

Results
E_tot: -3.0150 eV per atom
energy above the most stable polymorph in this dataset: 0.053 eV/atom
energy of formation from the pure elements: 7.8 kJ/mol of atoms

=====

[3]
# Hg3Bi3Pb2

A geometry-optimized Hg3Bi3Pb2 structure (PBE, Alexandria).

Unit cell a=6.2678 b=6.2678 c=6.2678 alpha=84.10 beta=84.10 gamma=95.90
Element x y z (fractional)
Hg  0.0000  0.2617  0.2617
Pb  0.2486  0.2486  0.7514
Bi  0.7583  0.5000  0.7583
Hg  0.2617  0.7383  0.0000
Bi  0.5000  0.2417  0.2417
Bi  0.2417  0.7583  0.5000
Pb  0.7514  0.7514  0.2486
Hg  0.7383  0.0000  0.7383

Results
E_tot: -2.4209 eV per atom
energy of formation from the pure elements: 7.2 kJ/mol of atoms

=====

[4]
# Hg3Bi2Pb4

A geometry-optimized Hg3Bi2Pb4 structure (PBE, Alexandria).

Unit cell a=3.4663 b=4.9723 c=17.5087 alpha=72.42 beta=86.72 gamma=75.17
Element x y z (fractional)
Pb  0.0276  0.9919  0.3426
Pb  0.6132  0.6606  0.8946
Hg  0.3478  0.3273  0.4535
Bi  0.7016  0.6683  0.2246
Pb  0.3868  0.3394  0.1054
Pb  0.9724  0.0081  0.6574
Hg  0.0000  0.0000  0.0000
Bi  0.2984  0.3317  0.7754
Hg  0.6522  0.6727  0.5465

Results
E_tot: -2.5774 eV per atom
energy of formation from the pure elements: 3.3 kJ/mol of atoms

=====

[5]
# Hg2Bi3Pb3

A geometry-optimized Hg2Bi3Pb3 structure (PBE, Alexandria).

Unit cell a=5.9167 b=9.7739 c=9.7739 alpha=120.00 beta=89.93 gamma=90.03
Element x y z (fractional)
Pb  0.2500  0.5869  0.5869
Bi  0.2500  0.2074  0.2074
Pb  0.7500  0.0000  0.5869
Bi  0.2499  0.0000  0.7926
Hg  0.0000  0.3333  0.6667
Bi  0.7500  0.7926  0.7926
Bi  0.2500  0.7926  0.0000
Bi  0.7501  0.0000  0.2074
Pb  0.2500  0.4131  0.0000
Hg  0.5000  0.6667  0.3333
Hg  0.0000  0.6667  0.3333
Pb  0.2500  0.0000  0.4131
Pb  0.7500  0.4131  0.4131
Hg  0.5000  0.3333  0.6667
Bi  0.7500  0.2074  0.0000
Pb  0.7500  0.5869  0.0000

Results
E_tot: -2.8222 eV per atom
energy of formation from the pure elements: 9.6 kJ/mol of atoms

=====

[6]
# Hg4BiPb3

A geometry-optimized Hg4BiPb3 structure (PBE, Alexandria).

Unit cell a=6.4404 b=6.4404 c=6.4404 alpha=90.00 beta=90.00 gamma=90.00
Element x y z (fractional)
Hg  0.6717  0.3283  0.6717
Hg  0.3283  0.3283  0.3283
Pb  0.5000  0.0000  0.0000
Hg  0.6717  0.6717  0.3283
Bi  0.0000  0.0000  0.0000
Hg  0.3283  0.6717  0.6717
Pb  0.0000  0.0000  0.5000
Pb  0.0000  0.5000  0.0000

Results
E_tot: -1.8685 eV per atom
energy above the most stable polymorph in this dataset: 0.130 eV/atom
energy of formation from the pure elements: 15.3 kJ/mol of atoms

=====

[7]
# Hg5BiPb6

A geometry-optimized Hg5BiPb6 structure (PBE, Alexandria).

Unit cell a=6.3317 b=12.1140 c=7.4821 alpha=128.65 beta=93.97 gamma=115.92
Element x y z (fractional)
Hg  0.3387  0.3387  0.6774
Hg  0.0000  0.5000  0.0000
Pb  0.5125  0.2546  0.0000
Bi  0.0000  0.0000  0.0000
Pb  0.4875  0.7454  0.0000
Pb  0.8384  0.5881  0.6675
Pb  0.1616  0.4119  0.3325
Hg  0.6692  0.1692  0.3384
Pb  0.8291  0.0794  0.6675
Pb  0.1709  0.9206  0.3325
Hg  0.6613  0.6613  0.3226
Hg  0.3308  0.8308  0.6616

Results
E_tot: -2.2725 eV per atom
energy of formation from the pure elements: 3.0 kJ/mol of atoms

=====

[8]
# Hg4BiPb3

A geometry-optimized Hg4BiPb3 structure (PBE, Alexandria).

Unit cell a=3.4965 b=5.9904 c=11.2388 alpha=95.99 beta=98.95 gamma=90.00
Element x y z (fractional)
Pb  0.1319  0.2138  0.2638
Hg  0.2424  0.7492  0.4848
Pb  0.8681  0.7862  0.7362
Pb  0.0000  0.5000  0.0000
Hg  0.3741  0.2948  0.7482
Hg  0.6259  0.7052  0.2518
Bi  0.5000  0.0000  0.0000
Hg  0.7576  0.2508  0.5152

Results
E_tot: -1.9983 eV per atom
energy above the most stable polymorph in this dataset: 0.000 eV/atom
energy of formation from the pure elements: 2.7 kJ/mol of atoms

=====

Please write out number 2 again, unchanged.
# HgBi2Pb2

A geometry-optimized HgBi2Pb2 structure (PBE, Alexandria).

Unit cell a=9.0476 b=9.0476 c=4.0868 alpha=90.00 beta=90.00 gamma=90.00
Element x y z (fractional)
Hg  0.5000  0.5000  0.0000
Pb  0.3489  0.8489  0.0000
Hg  0.0000  0.0000  0.0000
Pb  0.6511  0.1511  0.0000
Bi  0.1367  0.6367  0.5000
Bi  0.6367  0.8633  0.5000
Bi  0.8633  0.3633  0.5000
Bi  0.3633  0.1367  0.5000
Pb  0.1511  0.3489  0.0000
Pb  0.8489  0.6511  0.0000

Results
E_tot: -3.0150 eV per atom
energy above the most stable polymorph in this dataset: 0.053 eV/atom
energy of formation from the pure elements: 7.8 kJ/mol of atoms